## DyZrCo2 (PBE)

Data for a geometry-optimized DyZrCo2 structure.

Geometry as CIF:
```
data_DyZrCo2
_space_group_name_H-M_alt 'P 1'
_space_group_IT_number 1
_space_group_name_Hall 'P 1'
_cell_length_a 4.623
_cell_length_b 4.623
_cell_length_c 4.623
_cell_angle_alpha 60.00
_cell_angle_beta 60.00
_cell_angle_gamma 60.00
loop_
_atom_site_label
_atom_site_type_symbol
_atom_site_fract_x
_atom_site_fract_y
_atom_site_fract_z
Co1 Co 0.250 0.250 0.250
Co2 Co 0.750 0.750 0.750
Zr1 Zr 0.500 0.500 0.500
Dy1 Dy 0.000 0.000 0.000
```

Computed properties:
The electronic total energy comes out at -7.027 eV per atom. The volume is 17.46 Å³/atom. The formation enthalpy at 0 K comes out at -0.186 eV/atom. The calculation puts the size of the total moment at 1.3 μB per cell. The value obtained for the density is 8.834 g/cm3. The value obtained for the energy above the most stable polymorph in this dataset is 50 meV per atom.